[1]
Entry from OQMD via LeMat-Bulk: a relaxed RbYNbSe3 crystal (PBE).

Its calculated total energy is -5.8264 eV per atom. The value obtained for the mass density is 4.7 g/cm3.

It has space group Cmcm (No. 63), with a = 4.1547 Å, b = 15.6353 Å, c = 10.8646 Å, α = 90.00°, β = 90.00° and γ = 90.00°. Symmetry generates all atoms from Rb at (0.0000, 0.2431, 0.2500), Y at (0.0000, 0.5000, 0.0000), Nb at (0.0000, 0.0311, 0.7500), Se at (0.0000, 0.1230, 0.5568) and Se at (0.0000, 0.4327, 0.7500).

=====

[2]
Entry from OQMD via LeMat-Bulk: a relaxed Rb2YNbSe6 crystal (PBE).

Its calculated total energy is -4.9154 eV per atom. The value obtained for the mass density is 4.5 g/cm3.

It has space group C2/m (No. 12), with a = 13.1094 Å, b = 7.5603 Å, c = 7.5801 Å, α = 90.00°, β = 125.28° and γ = 90.00°. Symmetry generates all atoms from Rb at (0.2495, 0.0000, 0.2486), Y at (0.0000, 0.5000, 0.0000), Nb at (0.0000, 0.0000, 0.5000), Se at (0.0071, 0.2399, 0.2681) and Se at (0.2394, 0.0000, 0.7528).